# 1
The following is a PBE calculation of an optimized crystal structure of PmGdScRh, from the Alexandria database.

a b c (Å): 5.1352 5.1352 5.1352
angles (deg): 60.00 60.00 60.00
Each line ends with the local moment (μB).
Positions (direct):
Pm 0.2500 0.2500 0.2500  0.02
Gd 0.7500 0.7500 0.7500  7.07
Sc 0.0000 0.0000 0.0000  0.10
Rh 0.5000 0.5000 0.5000  -0.05

Values from the calculation:
For the formation energy, the calculation gives -0.1389 eV/atom. The calculation puts the theoretical density at 7.8 g cm⁻³. The total magnetization is 7.318 μB/f.u.


# 2
The following is a PBE calculation of an optimized crystal structure of PmTm4Ge4, from the Alexandria database.

a b c (Å): 5.7167 9.2140 9.2140
angles (deg): 90.00 90.00 90.00
Positions (direct):
Ge 0.3953 0.3557 0.2087
Tm 0.8883 0.3945 0.1553
Tm 0.3883 0.6553 0.1055
Ge 0.1047 0.1443 0.2913
Ge 0.1047 0.8557 0.7087
Ge 0.6047 0.7913 0.3557
Ge 0.3953 0.6443 0.7913
Ge 0.8953 0.7087 0.1443
Tm 0.6117 0.1055 0.3447
Pm 0.5000 0.5000 0.5000
Tm 0.1117 0.1553 0.6055
Ge 0.8953 0.2913 0.8557
Pm 0.0000 0.0000 0.0000
Tm 0.8883 0.6055 0.8447
Tm 0.3883 0.3447 0.8945
Tm 0.1117 0.8447 0.3945
Ge 0.6047 0.2087 0.6443
Tm 0.6117 0.8945 0.6553

Values from the calculation:
For the formation energy, the calculation gives -0.5699 eV/atom. The calculation puts the theoretical density at 7.6 g cm⁻³. The total magnetization is 0.000 μB/f.u.


# 3
The following is a PBE calculation of an optimized crystal structure of MoP2Os, from the Alexandria database.

a b c (Å): 3.6440 3.0058 5.2015
angles (deg): 90.00 90.00 90.00
Positions (direct):
Mo 0.5000 0.2500 0.2500
Os 0.5000 0.7500 0.7500
P 0.0000 0.7500 0.0296
P 0.0000 0.7500 0.4704

Values from the calculation:
For the formation energy, the calculation gives 0.0283 eV/atom. The calculation puts the theoretical density at 10.1 g cm⁻³. The total magnetization is 0.000 μB/f.u.


# 4
The following is a PBE calculation of an optimized crystal structure of AcIn4Pd2, from the Alexandria database.

a b c (Å): 4.7349 7.3327 18.9542
angles (deg): 90.00 90.00 90.00
Positions (direct):
Pd 0.2500 0.7539 0.5387
Ac 0.7500 0.9794 0.6389
Pd 0.7500 0.2539 0.9613
Pd 0.2500 0.9670 0.7810
In 0.2500 0.6711 0.6845
In 0.7500 0.6689 0.9659
Pd 0.2500 0.7461 0.0387
In 0.2500 0.2292 0.1938
In 0.2500 0.9987 0.9275
Pd 0.7500 0.4670 0.7190
Pd 0.2500 0.5330 0.2810
Ac 0.2500 0.0206 0.3611
In 0.7500 0.3289 0.3155
In 0.2500 0.3311 0.0341
In 0.7500 0.1711 0.8155
In 0.7500 0.0013 0.0725
In 0.2500 0.5013 0.4275
Pd 0.7500 0.2461 0.4613
Ac 0.7500 0.5206 0.1389
In 0.2500 0.2708 0.6938
In 0.7500 0.7708 0.8062
In 0.2500 0.1689 0.5341
In 0.7500 0.4987 0.5725
In 0.2500 0.8289 0.1845
In 0.7500 0.7292 0.3062
Pd 0.7500 0.0330 0.2190
Ac 0.2500 0.4794 0.8611
In 0.7500 0.8311 0.4659

Values from the calculation:
For the formation energy, the calculation gives -0.5573 eV/atom. The calculation puts the theoretical density at 9.1 g cm⁻³. The total magnetization is 0.000 μB/f.u.


# 5
The following is a PBE calculation of an optimized crystal structure of CaSi3Au3, from the Alexandria database.

a b c (Å): 6.8861 6.8861 6.8861
angles (deg): 90.00 90.00 90.00
Positions (direct):
Si 0.5000 0.0000 0.7500
Au 0.5000 0.2500 0.0000
Si 0.0000 0.7500 0.5000
Au 0.0000 0.5000 0.7500
Si 0.5000 0.0000 0.2500
Ca 0.0000 0.0000 0.0000
Au 0.0000 0.5000 0.2500
Ca 0.5000 0.5000 0.5000
Si 0.7500 0.5000 0.0000
Si 0.2500 0.5000 0.0000
Si 0.0000 0.2500 0.5000
Au 0.7500 0.0000 0.5000
Au 0.5000 0.7500 0.0000
Au 0.2500 0.0000 0.5000

Values from the calculation:
The calculation puts the theoretical density at 7.3 g cm⁻³. For the uncorrected formation energy, the calculation gives -0.072 eV per atom. The total magnetization is 0.000 μB/f.u.


# 6
The following is a PBE calculation of an optimized crystal structure of GaSn2Pd, from the Alexandria database.

a b c (Å): 4.4316 4.4316 6.0681
angles (deg): 68.94 68.94 59.02
Positions (direct):
Sn 0.0692 0.0692 0.7847
Ga 0.4978 0.4978 0.5017
Sn 0.2720 0.2720 0.1952
Pd 0.6610 0.6610 0.0184

Values from the calculation:
For the formation energy, the calculation gives -0.2038 eV/atom. The calculation puts the theoretical density at 7.4 g cm⁻³. The total magnetization is 0.000 μB/f.u.


# 7
The following is a PBE calculation of an optimized crystal structure of Tl2CuPtS4, from the Alexandria database.

a b c (Å): 6.0219 7.1488 10.6347
angles (deg): 83.15 73.55 65.09
Positions (direct):
S 0.2774 0.8221 0.1280
S 0.1554 0.3221 0.3720
Cu 0.5000 0.0000 0.0000
S 0.8496 0.6779 0.6280
S 0.9004 0.8221 0.8720
Tl 0.8107 0.0000 0.3785
S 0.5946 0.1779 0.1280
S 0.4726 0.6779 0.3720
Tl 0.9393 0.5000 0.1215
Pt 0.7500 0.5000 0.5000
Cu 0.2500 0.5000 0.5000
Tl 0.1893 0.0000 0.6215
Pt 0.0000 0.0000 0.0000
S 0.5225 0.3221 0.6280
S 0.2275 0.1779 0.8720
Tl 0.5607 0.5000 0.8785

Values from the calculation:
The calculation puts the theoretical density at 6.6 g cm⁻³. For the uncorrected formation energy, the calculation gives -0.085 eV per atom. The total magnetization is 0.000 μB/f.u.


# 8
The following is a PBE calculation of an optimized crystal structure of DyH8Rh4, from the Alexandria database.

a b c (Å): 5.5778 5.8311 5.6865
angles (deg): 90.89 119.21 118.26
Positions (direct):
Rh 0.0000 0.0000 0.0000
H 0.0749 0.8761 0.7728
Rh 0.5000 0.5000 0.0000
H 0.4254 0.1274 0.2266
H 0.5568 0.2764 0.8345
H 0.9251 0.1239 0.2272
Rh 0.5000 0.0000 0.0000
Rh 0.0000 0.5000 0.0000
H 0.0625 0.2708 0.8516
Dy 0.0000 0.5000 0.5000
H 0.4432 0.7236 0.1655
H 0.9375 0.7292 0.1484
H 0.5746 0.8726 0.7734

Values from the calculation:
The calculated total energy is -4.83 eV per atom. The calculation puts the theoretical density at 7.2 g cm⁻³. The total magnetization is 0.000 μB/f.u.


# 9
The following is a PBE calculation of an optimized crystal structure of TbDyP2, from the Alexandria database.

a b c (Å): 3.9769 3.9769 7.2140
angles (deg): 74.00 74.00 60.00
Positions (direct):
Dy 0.6691 0.6691 0.9927
P 0.2514 0.2514 0.2457
Tb 0.4977 0.4977 0.5070
P 0.0818 0.0818 0.7546

Values from the calculation:
For the formation energy, the calculation gives -1.4456 eV/atom. The calculation puts the theoretical density at 6.8 g cm⁻³. The total magnetization is 0.000 μB/f.u.


# 10
The following is a PBE calculation of an optimized crystal structure of Li5Ca3H12, from the Alexandria database.

a b c (Å): 10.4605 10.4605 10.4605
angles (deg): 109.47 109.47 109.47
Positions (direct):
H 0.2119 0.5343 0.6265
H 0.6775 0.4657 0.5922
H 0.4078 0.3735 0.5853
H 0.1265 0.7119 0.5343
H 0.3225 0.7881 0.4147
Li 0.0000 0.5000 0.5000
Li 0.6250 0.8750 0.2500
H 0.7119 0.5853 0.1775
Ca 0.2500 0.1250 0.3750
H 0.9657 0.3735 0.2881
H 0.9078 0.0853 0.8735
Li 0.1250 0.7500 0.3750
Li 0.0000 0.0000 0.5000
H 0.6265 0.5922 0.9147
H 0.0922 0.1775 0.4657
H 0.9147 0.0922 0.6265
Li 0.0000 0.0000 0.0000
H 0.0853 0.9078 0.3735
Ca 0.7500 0.3750 0.1250
Li 0.8750 0.6250 0.7500
Ca 0.2500 0.6250 0.8750
H 0.5853 0.8735 0.4078
H 0.1775 0.0853 0.7119
H 0.2881 0.4147 0.8225
H 0.0343 0.6265 0.7119
Li 0.1250 0.3750 0.2500
H 0.7881 0.3225 0.9147
Li 0.2500 0.8750 0.1250
H 0.8735 0.5853 0.9078
Li 0.7500 0.6250 0.3750
Ca 0.8750 0.7500 0.1250
H 0.4147 0.2881 0.3225
H 0.9147 0.8225 0.7881
Ca 0.3750 0.6250 0.2500
H 0.0343 0.4078 0.8225
H 0.5343 0.3225 0.9078
H 0.5922 0.9657 0.6775
H 0.4657 0.7881 0.8735
Ca 0.1250 0.8750 0.7500
H 0.5922 0.6265 0.4147
H 0.4657 0.6775 0.0922
H 0.9078 0.8225 0.5343
Li 0.3750 0.2500 0.1250
H 0.0853 0.1775 0.2119
Ca 0.1250 0.2500 0.8750
H 0.9657 0.5922 0.1775
H 0.2119 0.6775 0.0853
Li 0.5000 0.0000 0.0000
H 0.1775 0.0922 0.9657
Li 0.6250 0.7500 0.8750
H 0.4147 0.1265 0.5922
H 0.6265 0.0343 0.2119
Ca 0.3750 0.7500 0.6250
Li 0.2500 0.3750 0.6250
H 0.5343 0.2119 0.1265
Li 0.0000 0.5000 0.0000
H 0.8735 0.2881 0.4657
Ca 0.6250 0.3750 0.7500
H 0.6775 0.2119 0.5853
H 0.7881 0.4657 0.3735
H 0.2881 0.8735 0.9657
H 0.1265 0.4147 0.0922
Li 0.7500 0.1250 0.8750
H 0.0922 0.9147 0.1265
H 0.4078 0.0343 0.3225
H 0.3735 0.9657 0.7881
Ca 0.8750 0.1250 0.2500
Li 0.5000 0.5000 0.5000
H 0.5853 0.7119 0.6775
H 0.3225 0.5343 0.4078
H 0.3735 0.4078 0.0853
Li 0.5000 0.0000 0.5000
Li 0.8750 0.2500 0.6250
Ca 0.6250 0.2500 0.3750
Ca 0.7500 0.8750 0.6250
H 0.8225 0.9078 0.0343
Li 0.3750 0.1250 0.7500
H 0.8225 0.9147 0.2881
Li 0.5000 0.5000 0.0000
H 0.7119 0.1265 0.0343

Values from the calculation:
The calculated total energy is -3.12 eV per atom. The calculation puts the theoretical density at 1.3 g cm⁻³. The total magnetization is 0.000 μB/f.u.


# 11
The following is a PBE calculation of an optimized crystal structure of Ca4Pb2F, from the Alexandria database.

a b c (Å): 4.7340 4.7340 9.5939
angles (deg): 75.72 75.72 90.00
Positions (direct):
Ca 0.1828 0.1828 0.6343
Pb 0.3659 0.3659 0.2682
Ca 0.0000 0.5000 0.0000
Ca 0.8172 0.8172 0.3657
Ca 0.5000 0.0000 0.0000
F 0.0000 0.0000 0.0000
Pb 0.6341 0.6341 0.7318

Values from the calculation:
The calculation puts the theoretical density at 4.9 g cm⁻³. For the uncorrected formation energy, the calculation gives -1.205 eV per atom. The total magnetization is 0.000 μB/f.u.


# 12
The following is a PBE calculation of an optimized crystal structure of Ni2HS, from the Alexandria database.

a b c (Å): 3.0901 3.0901 5.1221
angles (deg): 72.44 72.44 60.00
Positions (direct):
Ni 0.0570 0.0570 0.8290
Ni 0.2589 0.2589 0.2232
H 0.6844 0.6844 0.9467
S 0.4997 0.4997 0.5010

Values from the calculation:
The calculated total energy is -4.74 eV per atom. The calculation puts the theoretical density at 6.3 g cm⁻³. The total magnetization is 0.000 μB/f.u.